No. 1
The following is a DFT calculation (PBE) of crystalline NiSnBr3 at its relaxed geometry.

Structure (extended XYZ):
```
5
Lattice="4.972 0.000 0.000 0.000 4.972 0.000 0.000 0.000 4.972" Properties=species:S:1:pos:R:3 pbc="T T T"
Ni 0.000 0.000 0.000
Sn 2.486 2.486 2.486
Br 0.000 0.000 2.486
Br 0.000 2.486 0.000
Br 2.486 0.000 0.000
```

Output
For the energy above the lowest structure with this stoichiometry, the calculation gives 0.000 eV/atom. The formation energy from raw total energies comes out at -0.21 eV/atom. The total moment is 0.00 μB per formula unit.



No. 2
The following is a DFT calculation (PBE) of crystalline Tb2Pm8Sc at its relaxed geometry.

Structure (extended XYZ):
```
11
Lattice="9.125 -3.377 0.000 9.125 3.377 0.000 -1.437 0.000 5.943" Properties=species:S:1:pos:R:3 pbc="T T T"
Tb 4.014 0.000 0.216
Tb 12.800 0.000 5.727
Pm -0.486 0.000 4.624
Pm 5.581 1.749 3.109
Pm 11.233 1.749 2.835
Pm 7.389 0.000 0.054
Pm 9.425 0.000 5.889
Pm 5.581 -1.749 3.109
Pm 11.233 -1.749 2.835
Pm 17.300 0.000 1.319
Sc 8.407 0.000 2.972
```

Output
For the energy above the lowest structure with this stoichiometry, the calculation gives 0.140 eV/atom. The total moment is 0.00 μB per formula unit. Its energy relative to the elements is 0.17 eV/atom.



No. 3
The following is a DFT calculation (PBE) of crystalline Na2NdCdF8 at its relaxed geometry.

Structure (extended XYZ):
```
12
Lattice="3.942 0.000 0.000 0.000 5.535 0.000 0.000 0.000 7.845" Properties=species:S:1:pos:R:3 pbc="T T T"
Na 0.000 0.000 1.900
Na 0.000 0.000 5.945
Nd 1.971 2.767 3.922
Cd 1.971 2.767 0.000
F 0.000 1.434 3.922
F 0.000 1.475 0.000
F 0.000 4.059 0.000
F 0.000 4.101 3.922
F 1.971 1.442 1.941
F 1.971 1.442 5.904
F 1.971 4.092 1.941
F 1.971 4.092 5.904
```

Output
The formation energy from raw total energies comes out at -2.81 eV/atom. The total moment is 1.10 μB per formula unit.



No. 4
The following is a DFT calculation (PBE) of crystalline Al2Sn2Bi at its relaxed geometry.

Structure (extended XYZ):
```
10
Lattice="8.577 0.000 0.000 0.000 8.577 0.000 0.000 0.000 3.313" Properties=species:S:1:pos:R:3 pbc="T T T"
Al 1.304 2.985 0.000
Al 2.985 7.273 0.000
Al 5.592 1.304 0.000
Al 7.273 5.592 0.000
Sn 1.237 5.526 1.656
Sn 3.051 1.237 1.656
Sn 5.526 7.339 1.656
Sn 7.339 3.051 1.656
Bi 0.000 0.000 0.000
Bi 4.288 4.288 0.000
```

Output
For the energy above the lowest structure with this stoichiometry, the calculation gives 0.000 eV/atom. The total moment is 0.00 μB per formula unit. Its energy relative to the elements is 0.15 eV/atom.



No. 5
The following is a DFT calculation (PBE) of crystalline YZnPCl2 at its relaxed geometry.

Structure (extended XYZ):
```
5
Lattice="5.169 0.000 0.000 0.000 5.169 0.000 0.000 0.000 5.711" Properties=species:S:1:pos:R:3 pbc="T T T"
Y 0.000 0.000 0.000
Zn 2.584 2.584 2.856
P 0.000 0.000 2.856
Cl 0.000 2.584 0.000
Cl 2.584 0.000 0.000
```

Output
For the energy above the lowest structure with this stoichiometry, the calculation gives 0.000 eV/atom. The formation energy from raw total energies comes out at -0.71 eV/atom. The total moment is 0.57 μB per formula unit.



No. 6
The following is a DFT calculation (PBE) of crystalline CdHg2Sb at its relaxed geometry.

Structure (extended XYZ):
```
4
Lattice="3.709 -4.297 0.000 3.709 4.297 0.000 -0.769 0.000 3.265" Properties=species:S:1:pos:R:3 pbc="T T T"
Cd 0.000 0.000 0.000
Hg 1.470 2.149 1.633
Hg 1.470 -2.149 1.633
Sb 3.709 0.000 0.000
```

Output
For the energy above the lowest structure with this stoichiometry, the calculation gives 0.069 eV/atom. The formation energy from raw total energies comes out at 0.10 eV/atom. The total moment is 0.00 μB per formula unit.



No. 7
The following is a DFT calculation (PBE) of crystalline CeEr2Sc3As6 at its relaxed geometry.

Structure (extended XYZ):
```
12
Lattice="3.472 -6.011 0.000 3.472 6.011 0.000 -2.315 0.000 6.519" Properties=species:S:1:pos:R:3 pbc="T T T"
Ce 0.000 0.000 0.000
Er 3.472 2.006 0.000
Er 3.472 -2.006 0.000
Sc 2.314 4.017 3.260
Sc 2.314 0.000 3.260
Sc 2.314 -4.017 3.260
As 1.165 2.017 1.727
As 0.015 0.000 4.804
As 1.165 -2.017 1.727
As 3.463 2.017 4.792
As 4.613 0.000 1.715
As 3.463 -2.017 4.792
```

Output
The total moment is 0.39 μB per formula unit. Its energy relative to the elements is -1.42 eV/atom.



No. 8
The following is a DFT calculation (PBE) of crystalline La2CeGa4 at its relaxed geometry.

Structure (extended XYZ):
```
7
Lattice="-2.119 2.211 9.577 2.119 -2.211 9.577 2.119 2.211 -9.577" Properties=species:S:1:pos:R:3 pbc="T T T"
La 0.000 0.000 3.529
La 0.000 0.000 15.625
Ce 2.119 0.000 0.000
Ga 0.000 0.000 6.935
Ga 2.119 0.000 8.348
Ga 0.000 2.211 1.229
Ga 0.000 0.000 12.219
```

Output
The total moment is 0.77 μB per formula unit. Its energy relative to the elements is -0.59 eV/atom.



The highest total moment belongs to which entry?
Na2NdCdF8



Number 1 is which compound?
NiSnBr3



What did the eighth record say?
The following is a DFT calculation (PBE) of crystalline La2CeGa4 at its relaxed geometry.

Structure (extended XYZ):
```
7
Lattice="-2.119 2.211 9.577 2.119 -2.211 9.577 2.119 2.211 -9.577" Properties=species:S:1:pos:R:3 pbc="T T T"
La 0.000 0.000 3.529
La 0.000 0.000 15.625
Ce 2.119 0.000 0.000
Ga 0.000 0.000 6.935
Ga 2.119 0.000 8.348
Ga 0.000 2.211 1.229
Ga 0.000 0.000 12.219
```

Output
The total moment is 0.77 μB per formula unit. Its energy relative to the elements is -0.59 eV/atom.